LiAsPb2C | PBE | optimized geometry

SG: P4/mmm
VASP energy, eV per atom: -3.92
ΔE_f, eV per atom: 0.726

a b c (Å): 5.519 5.519 3.860
angles (deg): 90.00 90.00 90.00
Sites, in units of the cell vectors:
Li (0.000, 0.000, 0.000)
As (0.500, 0.500, 0.000)
Pb (0.000, 0.500, 0.500)
Pb (0.500, 0.000, 0.500)
C (0.500, 0.500, 0.500)